The following is a PBE calculation of crystalline IrRuSe2 at its relaxed geometry, from the Alexandria database.

Output
ΔE to the lowest computed polymorph ... 0.424 eV/atom
Size of the total moment ... 0.00 μB per cell
Space-group type ... P2/m
Formation energy (no corrections) ... 0.473 eV/atom

Geometry as POSCAR:
```
IrRuSe2
1.0
2.7830 0.0000 0.0000
0.0000 4.0941 0.0000
-0.0120 0.0000 6.0183
Ir Ru Se
1 1 2
Cartesian
0.0000 0.0000 0.0000
-0.0060 0.0000 3.0091
0.0124 2.0470 1.5193
2.7586 2.0470 4.4990
```